1.
A relaxed Ba2CrAs2 crystal, computed with PBE.

Summary:
DFT formation energy	-0.44	eV per atom
crystal system	tetragonal
electronic total energy	-5.00	eV per atom
volume	29.09	A^3/atom
polymorph energy (0 for the lowest one)	1.433	eV/f.u.

a b c (Å): 7.5950 7.5950 5.0436
angles (deg): 90.00 90.00 90.00
Space group P4/mbm (No. 127)
Unique sites:
Ba: 0.1795 0.3205 0.0000 x4
Cr: 0.0000 0.0000 0.5000 x2
As: 0.1216 0.6216 0.5000 x4


2.
A relaxed LaGaCu2Pd4 crystal, computed with PBE.

Summary:
DFT formation energy	-0.49	eV per atom
crystal system	trigonal
electronic total energy	-5.10	eV per atom
volume	17.16	A^3/atom

a b c (Å): 4.3406 4.3406 25.2466
angles (deg): 90.00 90.00 120.00
Space group R-3m (No. 166, hexagonal axes)
Unique sites:
La: 0.0000 0.0000 0.0000 x3
Ga: 0.0000 0.0000 0.5000 x3
Cu: 0.0000 0.0000 0.2418 x6
Pd: 0.0000 0.0000 0.1317 x6
Pd: 0.0000 0.0000 0.4015 x6


3.
A relaxed Sr3Ta crystal, computed with PBE.

Summary:
DFT formation energy	0.48	eV per atom
crystal system	orthorhombic
electronic total energy	-3.74	eV per atom
volume	42.10	A^3/atom
polymorph energy (0 for the lowest one)	0.000	eV/f.u.

a b c (Å): 12.7220 12.7753 4.1444
angles (deg): 90.00 90.00 90.00
Space group Cmcm (No. 63)
Unique sites:
Sr: 0.0000 0.1520 0.2500 x4
Sr: 0.2035 0.3785 0.2500 x8
Ta: 0.0000 0.4369 0.7500 x4


4.
A relaxed MnBe2In crystal, computed with PBE.

Summary:
DFT formation energy	0.31	eV per atom
crystal system	tetragonal
electronic total energy	-4.53	eV per atom
volume	12.12	A^3/atom

a b c (Å): 3.4655 3.4655 8.0708
angles (deg): 90.00 90.00 90.00
Space group I-4m2 (No. 119)
Unique sites:
Mn: 0.0000 0.0000 0.0000 x2
Be: 0.0000 0.0000 0.5000 x2
Be: 0.0000 0.5000 0.7500 x2
In: 0.0000 0.5000 0.2500 x2


5.
A relaxed LiIn5Ir crystal, computed with PBE.

Summary:
DFT formation energy	-0.16	eV per atom
crystal system	tetragonal
electronic total energy	-3.65	eV per atom
volume	22.65	A^3/atom

a b c (Å): 4.6291 4.6291 7.3992
angles (deg): 90.00 90.00 90.00
Space group P4/mmm (No. 123)
Unique sites:
Li: 0.0000 0.0000 0.0000 x1
In: 0.0000 0.5000 0.2919 x4
In: 0.5000 0.5000 0.0000 x1
Ir: 0.0000 0.0000 0.5000 x1


6.
A relaxed FeCoIrRh crystal, computed with PBE.

Summary:
DFT formation energy	0.00	eV per atom
crystal system	orthorhombic
electronic total energy	-7.95	eV per atom
volume	12.85	A^3/atom
polymorph energy (0 for the lowest one)	0.000	eV/f.u.

a b c (Å): 3.6287 3.7597 3.7662
angles (deg): 90.00 90.00 90.00
Space group Pmmm (No. 47)
Unique sites:
Fe: 0.0000 0.0000 0.0000 x1
Co: 0.0000 0.5000 0.5000 x1
Ir: 0.5000 0.5000 0.0000 x1
Rh: 0.5000 0.0000 0.5000 x1


7.
A relaxed YZrBr2 crystal, computed with PBE.

Summary:
ΔE_f (raw)	-0.41	eV/atom
crystal system	cubic
electronic total energy	-5.00	eV per atom
volume	22.25	A^3/atom
polymorph energy (0 for the lowest one)	2.611	eV/f.u.

a b c (Å): 7.0868 7.0868 7.0868
angles (deg): 90.00 90.00 90.00
Space group Fm-3m (No. 225)
Unique sites:
Y: 0.0000 0.0000 0.0000 x4
Zr: 0.0000 0.0000 0.5000 x4
Br: 0.2500 0.2500 0.2500 x8


8.
A relaxed TbEuScAl crystal, computed with PBE.

Summary:
DFT formation energy	-0.01	eV per atom
crystal system	cubic
electronic total energy	-6.26	eV per atom
volume	26.01	A^3/atom

a b c (Å): 7.4659 7.4659 7.4659
angles (deg): 90.00 90.00 90.00
Space group F-43m (No. 216)
Unique sites:
Tb: 0.0000 0.0000 0.0000 x4
Eu: 0.2500 0.2500 0.7500 x4
Sc: 0.0000 0.0000 0.5000 x4
Al: 0.2500 0.2500 0.2500 x4


9.
A relaxed Y2CdAs crystal, computed with PBE.

Summary:
DFT formation energy	-0.60	eV per atom
crystal system	orthorhombic
electronic total energy	-5.23	eV per atom
volume	25.47	A^3/atom
polymorph energy (0 for the lowest one)	0.961	eV/f.u.

a b c (Å): 4.2908 5.5165 8.6099
angles (deg): 90.00 90.00 90.00
Space group Immm (No. 71)
Unique sites:
Y: 0.0000 0.0000 0.2267 x4
Cd: 0.0000 0.5000 0.0000 x2
As: 0.0000 0.5000 0.5000 x2


10.
A relaxed CeGdInPb crystal, computed with PBE.

Summary:
DFT formation energy	-0.39	eV per atom
crystal system	cubic
electronic total energy	-7.01	eV per atom
volume	28.97	A^3/atom

a b c (Å): 7.7391 7.7391 7.7391
angles (deg): 90.00 90.00 90.00
Space group F-43m (No. 216)
Unique sites:
Ce: 0.0000 0.0000 0.0000 x4
Gd: 0.0000 0.0000 0.5000 x4
In: 0.2500 0.2500 0.2500 x4
Pb: 0.2500 0.2500 0.7500 x4


11.
A relaxed NaAc8Co5 crystal, computed with PBE.

Summary:
DFT formation energy	0.00	eV per atom
crystal system	monoclinic
electronic total energy	-4.98	eV per atom
volume	32.85	A^3/atom

a b c (Å): 21.9355 4.2586 10.1486
angles (deg): 90.00 104.03 90.00
Space group C2/m (No. 12)
Unique sites:
Na: 0.0000 0.0000 0.0000 x2
Ac: 0.0716 0.0000 0.6603 x4
Ac: 0.0946 0.5000 0.3492 x4
Ac: 0.1751 0.5000 0.9893 x4
Ac: 0.2430 0.5000 0.6616 x4
Co: 0.0000 0.5000 0.5000 x2
Co: 0.1667 0.0000 0.5158 x4
Co: 0.2013 0.0000 0.8115 x4


12.
A relaxed TiMnRhC2 crystal, computed with PBE.

Summary:
DFT formation energy	1.62	eV per atom
crystal system	tetragonal
electronic total energy	-6.95	eV per atom
volume	15.43	A^3/atom

a b c (Å): 3.9091 3.9091 5.0486
angles (deg): 90.00 90.00 90.00
Space group P4/mmm (No. 123)
Unique sites:
Ti: 0.0000 0.0000 0.0000 x1
Mn: 0.5000 0.5000 0.0000 x1
Rh: 0.0000 0.0000 0.5000 x1
C: 0.0000 0.5000 0.5000 x2


13.
A relaxed Ba2BPb crystal, computed with PBE.

Summary:
DFT formation energy	0.44	eV per atom
crystal system	cubic
electronic total energy	-3.11	eV per atom
volume	34.60	A^3/atom
polymorph energy (0 for the lowest one)	0.407	eV/f.u.

a b c (Å): 8.2113 8.2113 8.2113
angles (deg): 90.00 90.00 90.00
Space group Fm-3m (No. 225)
Unique sites:
Ba: 0.2500 0.2500 0.2500 x8
B: 0.0000 0.0000 0.0000 x4
Pb: 0.0000 0.0000 0.5000 x4


14.
A relaxed V12Ga2GeS24 crystal, computed with PBE.

Summary:
ΔE_f (raw)	-0.89	eV/atom
crystal system	orthorhombic
electronic total energy	-6.51	eV per atom
volume	17.61	A^3/atom

a b c (Å): 6.8671 20.5949 9.7117
angles (deg): 90.00 90.00 90.00
Space group Imm2 (No. 44)
Unique sites:
V: 0.0000 0.0701 0.0000 x4
V: 0.0000 0.2622 0.9981 x4
V: 0.0000 0.4023 0.9998 x4
V: 0.2098 0.3326 0.2094 x8
V: 0.2106 0.0000 0.2093 x4
Ga: 0.0000 0.3337 0.6041 x4
Ge: 0.0000 0.0000 0.6048 x2
S: 0.0000 0.0863 0.2340 x4
S: 0.0000 0.0906 0.7399 x4
S: 0.0000 0.2420 0.7402 x4
S: 0.0000 0.2463 0.2333 x4
S: 0.0000 0.4190 0.2339 x4
S: 0.0000 0.4246 0.7428 x4
S: 0.2265 0.1661 0.9668 x8
S: 0.2275 0.5000 0.9693 x4
S: 0.2413 0.1674 0.4746 x8
S: 0.2407 0.5000 0.4754 x4


15.
A relaxed Li4Nd3Si4 crystal, computed with PBE.

Summary:
ΔE_f (raw)	-0.54	eV/atom
crystal system	orthorhombic
electronic total energy	-4.51	eV per atom
volume	19.84	A^3/atom

a b c (Å): 4.4098 6.7536 14.6525
angles (deg): 90.00 90.00 90.00
Space group Immm (No. 71)
Unique sites:
Li: 0.0000 0.1903 0.1706 x8
Nd: 0.0000 0.0000 0.3687 x4
Nd: 0.0000 0.5000 0.5000 x2
Si: 0.0000 0.3228 0.0000 x4
Si: 0.0000 0.5000 0.2873 x4


16.
A relaxed K5ThTe5 crystal, computed with PBE.

Summary:
ΔE_f (raw)	-1.02	eV/atom
crystal system	monoclinic
electronic total energy	-3.62	eV per atom
volume	45.83	A^3/atom

a b c (Å): 16.4197 6.6622 9.7160
angles (deg): 90.00 108.44 90.00
Space group C2/m (No. 12)
Unique sites:
K: 0.0000 0.0000 0.0000 x2
K: 0.1808 0.5000 0.3576 x4
K: 0.1985 0.5000 0.8227 x4
Th: 0.0000 0.0000 0.5000 x2
Te: 0.0000 0.5000 0.5000 x2
Te: 0.1364 0.0000 0.3405 x4
Te: 0.1453 0.0000 0.8012 x4


17.
A relaxed Tl2FeSb crystal, computed with PBE.

Summary:
ΔE_f (raw)	0.55	eV/atom
crystal system	tetragonal
electronic total energy	-3.78	eV per atom
volume	25.28	A^3/atom
polymorph energy (0 for the lowest one)	1.193	eV/f.u.

a b c (Å): 4.3224 4.3224 5.4131
angles (deg): 90.00 90.00 90.00
Space group P4/mmm (No. 123)
Unique sites:
Tl: 0.0000 0.5000 0.0000 x2
Fe: 0.0000 0.0000 0.5000 x1
Sb: 0.5000 0.5000 0.5000 x1


18.
A relaxed BaRhW2 crystal, computed with PBE.

Summary:
DFT formation energy	0.72	eV per atom
crystal system	monoclinic
electronic total energy	-8.07	eV per atom
volume	23.57	A^3/atom
polymorph energy (0 for the lowest one)	0.549	eV/f.u.

a b c (Å): 9.3748 3.1163 6.6196
angles (deg): 90.00 102.82 90.00
Space group Cm (No. 8)
Unique sites:
Ba: 0.0000 0.0000 0.0000 x2
Rh: 0.2321 0.0000 0.6717 x2
W: 0.0093 0.5000 0.5090 x2
W: 0.2966 0.5000 0.3832 x2


19.
A relaxed Cs2MnTcSn crystal, computed with PBE.

Summary:
DFT formation energy	1.20	eV per atom
crystal system	tetragonal
electronic total energy	-3.85	eV per atom
volume	44.31	A^3/atom

a b c (Å): 7.0585 7.0585 4.4464
angles (deg): 90.00 90.00 90.00
Space group P4/mmm (No. 123)
Unique sites:
Cs: 0.0000 0.5000 0.0000 x2
Mn: 0.0000 0.0000 0.0000 x1
Tc: 0.0000 0.0000 0.5000 x1
Sn: 0.5000 0.5000 0.5000 x1


20.
A relaxed Co2TeCl crystal, computed with PBE.

Summary:
ΔE_f (raw)	0.18	eV/atom
crystal system	orthorhombic
electronic total energy	-4.62	eV per atom
volume	21.37	A^3/atom
polymorph energy (0 for the lowest one)	0.981	eV/f.u.

a b c (Å): 3.4106 3.4212 14.6532
angles (deg): 90.00 90.00 90.00
Space group Imm2 (No. 44)
Unique sites:
Co: 0.0000 0.0000 0.0000 x2
Co: 0.0000 0.5000 0.3942 x2
Te: 0.0000 0.5000 0.8345 x2
Cl: 0.0000 0.0000 0.5779 x2


21.
A relaxed SrDyAlGa crystal, computed with PBE.

Summary:
DFT formation energy	-0.27	eV per atom
crystal system	cubic
electronic total energy	-3.53	eV per atom
volume	26.26	A^3/atom

a b c (Å): 7.4897 7.4897 7.4897
angles (deg): 90.00 90.00 90.00
Space group F-43m (No. 216)
Unique sites:
Sr: 0.0000 0.0000 0.0000 x4
Dy: 0.0000 0.0000 0.5000 x4
Al: 0.2500 0.2500 0.7500 x4
Ga: 0.2500 0.2500 0.2500 x4


22.
A relaxed DyErPdPt crystal, computed with PBE.

Summary:
DFT formation energy	-1.09	eV per atom
crystal system	cubic
electronic total energy	-6.19	eV per atom
volume	21.18	A^3/atom
polymorph energy (0 for the lowest one)	0.135	eV/f.u.

a b c (Å): 6.9717 6.9717 6.9717
angles (deg): 90.00 90.00 90.00
Space group F-43m (No. 216)
Unique sites:
Dy: 0.0000 0.0000 0.0000 x4
Er: 0.0000 0.0000 0.5000 x4
Pd: 0.2500 0.2500 0.2500 x4
Pt: 0.2500 0.2500 0.7500 x4


23.
A relaxed Sr3MgIr crystal, computed with PBE.

Summary:
DFT formation energy	-0.07	eV per atom
crystal system	cubic
electronic total energy	-3.17	eV per atom
volume	39.92	A^3/atom
polymorph energy (0 for the lowest one)	0.000	eV/f.u.

a b c (Å): 5.8443 5.8443 5.8443
angles (deg): 90.00 90.00 90.00
Space group Pm-3m (No. 221)
Unique sites:
Sr: 0.0000 0.0000 0.5000 x3
Mg: 0.5000 0.5000 0.5000 x1
Ir: 0.0000 0.0000 0.0000 x1


24.
A relaxed Pm2NdTe crystal, computed with PBE.

Summary:
ΔE_f (raw)	-0.59	eV/atom
crystal system	tetragonal
electronic total energy	-4.94	eV per atom
volume	31.62	A^3/atom
polymorph energy (0 for the lowest one)	0.399	eV/f.u.

a b c (Å): 3.9654 3.9654 8.0428
angles (deg): 90.00 90.00 90.00
Space group P4/mmm (No. 123)
Unique sites:
Pm: 0.0000 0.0000 0.2185 x2
Nd: 0.5000 0.5000 0.5000 x1
Te: 0.5000 0.5000 0.0000 x1


25.
A relaxed Ho8Cu2Tc crystal, computed with PBE.

Summary:
DFT formation energy	-0.11	eV per atom
crystal system	monoclinic
electronic total energy	-5.13	eV per atom
volume	25.23	A^3/atom
polymorph energy (0 for the lowest one)	0.000	eV/f.u.

a b c (Å): 17.1059 5.0770 6.7159
angles (deg): 90.00 107.92 90.00
Space group C2/m (No. 12)
Unique sites:
Ho: 0.0316 0.0000 0.2958 x4
Ho: 0.0917 0.5000 0.9422 x4
Ho: 0.1680 0.5000 0.4744 x4
Ho: 0.1966 0.0000 0.8153 x4
Cu: 0.1833 0.0000 0.2113 x4
Tc: 0.0000 0.5000 0.5000 x2